# 1
# K2ReCl (GGA-PBE, optimized geometry)
# - crystal system = tetragonal
# - formation energy from raw total energies (eV per atom) = 0.76
# - ΔE to the lowest computed polymorph (kJ per mole of atoms) = 40.1
data_K2ReCl
_space_group_name_H-M_alt 'I -4 m 2'
_space_group_IT_number 119
_space_group_name_Hall 'I -4 -2'
_cell_length_a 4.652
_cell_length_b 4.652
_cell_length_c 13.167
_cell_angle_alpha 90.00
_cell_angle_beta 90.00
_cell_angle_gamma 90.00
loop_
_atom_site_label
_atom_site_fract_x
_atom_site_fract_y
_atom_site_fract_z
K1 0.000 0.000 0.000
K2 0.000 0.500 0.250
Re1 0.000 0.500 0.750
Cl1 0.000 0.000 0.500

=====

# 2
# KTl2ReCl6 (GGA-PBE, optimized geometry)
# - crystal system = orthorhombic
# - formation energy from raw total energies (eV per atom) = -0.93
data_KTl2ReCl6
_space_group_name_H-M_alt 'P m m n'
_space_group_IT_number 59
_cell_length_a 7.164
_cell_length_b 10.730
_cell_length_c 8.372
_cell_angle_alpha 90.00
_cell_angle_beta 90.00
_cell_angle_gamma 90.00
loop_
_space_group_symop_operation_xyz
'x,y,z'
'-x,-y,-z'
'-x+1/2,-y+1/2,z'
'x+1/2,y+1/2,-z'
'x+1/2,-y,-z'
'-x+1/2,y,z'
'-x,y+1/2,-z'
'x,-y+1/2,z'
loop_
_atom_site_label
_atom_site_fract_x
_atom_site_fract_y
_atom_site_fract_z
K1 0.250 0.250 0.188
Tl1 0.250 0.051 0.679
Re1 0.250 0.750 0.302
Cl1 0.009 0.750 0.104
Cl2 0.011 0.750 0.505
Cl3 0.250 0.526 0.304

=====

# 3
# KRh2Cl (GGA-PBE, optimized geometry)
# - crystal system = monoclinic
# - formation energy from raw total energies (eV per atom) = 0.13
# - ΔE to the lowest computed polymorph (kJ per mole of atoms) = 17.4
data_KRh2Cl
_space_group_name_H-M_alt 'C 1 m 1'
_space_group_IT_number 8
_cell_length_a 8.549
_cell_length_b 3.738
_cell_length_c 6.400
_cell_angle_alpha 90.00
_cell_angle_beta 112.32
_cell_angle_gamma 90.00
loop_
_space_group_symop_operation_xyz
'x,y,z'
'x,-y,z'
'x+1/2,y+1/2,z'
'x+1/2,-y+1/2,z'
loop_
_atom_site_label
_atom_site_fract_x
_atom_site_fract_y
_atom_site_fract_z
K1 0.000 0.000 0.000
Rh1 0.286 0.500 0.430
Rh2 0.474 0.000 0.440
Cl1 0.190 0.000 0.649

=====

# 4
# KRh2Cl (GGA-PBE, optimized geometry)
# - crystal system = tetragonal
# - formation energy from raw total energies (eV per atom) = 0.72
# - ΔE to the lowest computed polymorph (kJ per mole of atoms) = 73.7
data_KRh2Cl
_space_group_name_H-M_alt 'P 4/m m m'
_space_group_IT_number 123
_space_group_name_Hall '-P 4 2'
_cell_length_a 3.003
_cell_length_b 3.003
_cell_length_c 8.416
_cell_angle_alpha 90.00
_cell_angle_beta 90.00
_cell_angle_gamma 90.00
loop_
_atom_site_label
_atom_site_fract_x
_atom_site_fract_y
_atom_site_fract_z
K1 0.000 0.000 0.000
Rh1 0.500 0.500 0.316
Cl1 0.000 0.000 0.500